(1)
PBE NdAsN2O, relaxed; magnetization = 0.001 μB per formula unit; total DFT energy (no corrections) = -0.52225 Ry/atom
1.0
8.411 0.000 0.000
0.000 7.111 0.000
-7.008 0.000 8.379
Nd As N O
8 8 16 8
Direct
0.162 0.003 0.207
0.162 0.003 0.707
0.162 0.497 0.207
0.162 0.497 0.707
0.838 0.503 0.293
0.838 0.503 0.793
0.838 0.997 0.293
0.838 0.997 0.793
0.295 0.749 0.012
0.295 0.751 0.512
0.372 0.250 0.076
0.372 0.250 0.576
0.628 0.750 0.424
0.628 0.750 0.924
0.705 0.249 0.488
0.705 0.251 0.988
0.225 0.034 0.981
0.225 0.035 0.480
0.225 0.465 0.980
0.225 0.466 0.481
0.393 0.750 0.394
0.393 0.750 0.894
0.440 0.250 0.277
0.440 0.250 0.777
0.560 0.750 0.223
0.560 0.750 0.723
0.607 0.250 0.106
0.607 0.250 0.606
0.775 0.534 0.519
0.775 0.535 0.020
0.775 0.965 0.520
0.775 0.966 0.019
0.039 0.750 0.292
0.039 0.750 0.792
0.093 0.750 0.042
0.093 0.750 0.542
0.907 0.250 0.458
0.907 0.250 0.958
0.961 0.250 0.208
0.961 0.250 0.708

(2)
PBE Pr5DyTe6, relaxed; magnetization = 0.002 μB per formula unit; total DFT energy (no corrections) = -0.39392 Ry/atom
1.0
3.899 -6.758 0.000
3.899 6.758 0.000
-2.592 0.000 7.333
Pr Dy Te
5 1 6
Direct
0.000 0.000 0.000
0.167 0.833 0.500
0.325 0.675 0.000
0.675 0.325 0.000
0.833 0.167 0.500
0.500 0.500 0.500
0.097 0.419 0.257
0.261 0.261 0.750
0.419 0.097 0.257
0.581 0.903 0.743
0.739 0.739 0.250
0.903 0.581 0.743

(3)
PBE ZrBPO, relaxed; magnetization = 0.003 μB per formula unit; total DFT energy (no corrections) = -0.53461 Ry/atom
1.0
2.646 0.000 0.000
0.000 6.606 0.000
0.000 0.000 5.699
Zr B P O
2 2 2 2
Direct
0.000 0.076 0.000
0.000 0.924 0.500
0.500 0.361 0.432
0.500 0.639 0.932
0.500 0.370 0.784
0.500 0.630 0.284
0.000 0.249 0.362
0.000 0.751 0.862

(4)
PBE TbDyTeO2, relaxed; magnetization = 0.000 μB per formula unit; total DFT energy (no corrections) = -0.53976 Ry/atom
1.0
3.897 0.000 0.000
-1.948 3.375 0.000
0.000 0.000 7.191
Tb Dy Te O
1 1 1 2
Direct
0.000 0.000 0.000
0.667 0.333 0.391
0.333 0.667 0.695
0.000 0.000 0.317
0.667 0.333 0.076

(5)
PBE SmTlZnSe3, relaxed; magnetization = 0.002 μB per formula unit; total DFT energy (no corrections) = -0.31227 Ry/atom
1.0
14.950 0.000 0.000
0.000 4.182 0.000
0.000 0.000 11.284
Sm Tl Zn Se
4 4 4 12
Direct
0.026 0.250 0.158
0.474 0.750 0.658
0.526 0.250 0.342
0.974 0.750 0.842
0.241 0.250 0.464
0.259 0.750 0.964
0.741 0.250 0.036
0.759 0.750 0.536
0.018 0.750 0.402
0.482 0.250 0.902
0.518 0.750 0.098
0.982 0.250 0.598
0.080 0.750 0.612
0.098 0.250 0.921
0.141 0.750 0.256
0.359 0.250 0.756
0.402 0.750 0.421
0.420 0.250 0.112
0.580 0.750 0.888
0.598 0.250 0.579
0.641 0.750 0.244
0.859 0.250 0.744
0.902 0.750 0.079
0.920 0.250 0.388

(6)
PBE AlCuSiPt, relaxed; magnetization = 0.001 μB per formula unit; total DFT energy (no corrections) = -0.35791 Ry/atom
1.0
0.000 3.064 3.064
3.064 0.000 3.064
3.064 3.064 0.000
Al Cu Si Pt
1 1 1 1
Direct
0.000 0.000 0.000
0.500 0.500 0.500
0.250 0.250 0.250
0.750 0.750 0.750

(7)
PBE Lu2NbTc, relaxed; magnetization = 0.115 μB per formula unit; total DFT energy (no corrections) = -0.52858 Ry/atom; ΔE_f = 4.24 kcal/mol of atoms
1.0
0.000 3.437 3.437
3.437 0.000 3.437
3.437 3.437 0.000
Lu Nb Tc
2 1 1
Direct
0.000 0.000 0.000
0.250 0.250 0.250
0.750 0.750 0.750
0.500 0.500 0.500

(8)
PBE Hf2Sc, relaxed; magnetization = 0.981 μB per formula unit; total DFT energy (no corrections) = -0.39099 Ry/atom; ΔE_f = 79.02 kcal/mol of atoms
1.0
4.168 2.406 6.787
-4.168 2.406 6.787
0.000 -4.812 6.787
Hf Sc
4 2
Direct
0.000 0.000 0.000
0.000 0.000 0.500
0.000 0.500 0.000
0.500 0.000 0.000
0.125 0.125 0.125
0.875 0.875 0.875

(9)
PBE FeCuReHg, relaxed; magnetization = 0.775 μB per formula unit; total DFT energy (no corrections) = -0.40585 Ry/atom; ΔE_f = 15.33 kcal/mol of atoms
1.0
0.000 3.045 3.045
3.045 0.000 3.045
3.045 3.045 0.000
Fe Cu Re Hg
1 1 1 1
Direct
0.000 0.000 0.000
0.500 0.500 0.500
0.750 0.750 0.750
0.250 0.250 0.250

(10)
PBE NdDyMg, relaxed; magnetization = 0.469 μB per formula unit; total DFT energy (no corrections) = -0.23825 Ry/atom
1.0
0.000 3.746 3.746
3.746 0.000 3.746
3.746 3.746 0.000
Nd Dy Mg
1 1 1
Direct
0.000 0.000 0.000
0.500 0.500 0.500
0.750 0.750 0.750

(11)
PBE YLuNiSb, relaxed; magnetization = 0.005 μB per formula unit; total DFT energy (no corrections) = -0.38026 Ry/atom
1.0
0.000 3.550 3.550
3.550 0.000 3.550
3.550 3.550 0.000
Y Lu Ni Sb
1 1 1 1
Direct
0.000 0.000 0.000
0.250 0.250 0.250
0.750 0.750 0.750
0.500 0.500 0.500

(12)
PBE TmAl3C, relaxed; magnetization = 0.016 μB per formula unit; total DFT energy (no corrections) = -0.34263 Ry/atom
1.0
4.342 0.000 0.000
0.000 4.342 0.000
0.000 0.000 4.342
Tm Al C
1 3 1
Direct
0.000 0.000 0.000
0.000 0.500 0.500
0.500 0.000 0.500
0.500 0.500 0.000
0.500 0.500 0.500

(13)
PBE KW, relaxed; magnetization = 5.002 μB per formula unit; total DFT energy (no corrections) = -0.27846 Ry/atom
1.0
0.000 3.588 3.588
3.588 0.000 3.588
3.588 3.588 0.000
K W
1 1
Direct
0.000 0.000 0.000
0.500 0.500 0.500

(14)
PBE Gd2DyPdPt2Pb3, relaxed; magnetization = 0.007 μB per formula unit; total DFT energy (no corrections) = -0.40603 Ry/atom
1.0
3.983 0.000 0.000
0.000 6.721 3.884
0.000 -6.721 3.884
Gd Dy Pd Pt Pb
2 1 1 2 3
Direct
0.000 0.204 0.796
0.000 0.796 0.204
0.000 0.612 0.612
0.000 0.205 0.205
0.500 0.538 0.868
0.500 0.868 0.538
0.500 0.204 0.464
0.500 0.464 0.204
0.500 0.944 0.944

(15)
PBE PrNdIN, relaxed; magnetization = 0.002 μB per formula unit; total DFT energy (no corrections) = -0.44609 Ry/atom
1.0
3.809 0.000 0.000
-1.904 3.299 0.000
0.000 0.000 15.260
Pr Nd I N
2 2 2 2
Direct
0.333 0.667 0.087
0.667 0.333 0.913
0.333 0.667 0.415
0.667 0.333 0.585
0.333 0.667 0.747
0.667 0.333 0.253
0.000 0.000 0.000
0.000 0.000 0.500

(16)
PBE Cu5Ag4, relaxed; total DFT energy (no corrections) = -0.23959 Ry/atom; ΔE_f = 1.39 kcal/mol of atoms
1.0
-1.406 1.406 16.466
1.406 -1.406 16.466
1.406 1.406 -16.466
Cu Ag
5 4
Direct
0.000 0.000 0.000
0.093 0.093 0.000
0.339 0.339 0.000
0.453 0.453 0.000
0.547 0.547 0.000
0.216 0.216 0.000
0.650 0.650 0.000
0.782 0.782 0.000
0.896 0.896 0.000

(17)
PBE ScCoSbW, relaxed; magnetization = 0.795 μB per formula unit; total DFT energy (no corrections) = -0.54411 Ry/atom
1.0
0.000 3.209 3.209
3.209 0.000 3.209
3.209 3.209 0.000
Sc Co Sb W
1 1 1 1
Direct
0.000 0.000 0.000
0.750 0.750 0.750
0.500 0.500 0.500
0.250 0.250 0.250

(18)
PBE ZrFeBMo, relaxed; magnetization = 2.578 μB per formula unit; total DFT energy (no corrections) = -0.59117 Ry/atom
1.0
0.000 3.008 3.008
3.008 0.000 3.008
3.008 3.008 0.000
Zr Fe B Mo
1 1 1 1
Direct
0.000 0.000 0.000
0.750 0.750 0.750
0.500 0.500 0.500
0.250 0.250 0.250

(19)
PBE Tb2SmIn3Pd3, relaxed; magnetization = 0.025 μB per formula unit; total DFT energy (no corrections) = -0.36786 Ry/atom
1.0
3.899 0.000 0.000
0.000 6.692 3.855
0.000 -6.692 3.855
Tb Sm In Pd
2 1 3 3
Direct
0.000 0.205 0.795
0.000 0.795 0.205
0.000 0.386 0.386
0.500 0.052 0.052
0.500 0.538 0.797
0.500 0.797 0.538
0.000 0.796 0.796
0.500 0.126 0.463
0.500 0.463 0.126

(20)
PBE Sr3ZnP2, relaxed; total DFT energy (no corrections) = -0.26739 Ry/atom
1.0
4.050 -6.080 0.000
4.050 6.080 0.000
-1.883 0.000 7.508
Sr Zn P
6 2 4
Direct
0.000 0.500 0.000
0.088 0.288 0.466
0.288 0.088 0.966
0.500 0.000 0.500
0.712 0.912 0.034
0.912 0.712 0.534
0.494 0.506 0.750
0.506 0.494 0.250
0.090 0.910 0.250
0.293 0.707 0.750
0.707 0.293 0.250
0.910 0.090 0.750